No. 1
VASP calculation (GGA-PBE) on a relaxed La5CoBr5 crystal.

Unit cell a=13.346 b=6.105 c=8.878 alpha=90.00 beta=110.96 gamma=90.00
Space group C2/m (No. 12)
Symmetry-distinct sites (fractional):
La: 0.000 0.000 0.000 x2
La: 0.137 0.500 0.271 x4
La: 0.172 0.500 0.859 x4
Co: 0.000 0.500 0.000 x2
Br: 0.000 0.500 0.500 x2
Br: 0.148 0.000 0.794 x4
Br: 0.174 0.000 0.359 x4

Computed properties:
- M_tot: 0.000 μB/atom
- Formation energy (no corrections): -14.1 eV/f.u.
- D(E_F): 0.92 states/eV/atom



No. 2
VASP calculation (GGA-PBE) on a relaxed GaBCl2 crystal.

Unit cell a=6.949 b=6.949 c=6.949 alpha=90.00 beta=90.00 gamma=90.00
Space group Fm-3m (No. 225)
Symmetry-distinct sites (fractional):
Ga: 0.000 0.000 0.000 x4
B: 0.000 0.000 0.500 x4
Cl: 0.250 0.250 0.250 x8

Computed properties:
- Distance to the lowest polymorph of the same formula: 324 meV/atom
- M_tot: 0.000 μB/atom
- Formation energy (no corrections): 2.5 eV/f.u.
- D(E_F): 0.00 states/eV/atom



No. 3
VASP calculation (GGA-PBE) on a relaxed Tb3Er4Sc crystal.

Unit cell a=11.079 b=7.160 c=6.179 alpha=90.00 beta=90.00 gamma=90.00
Space group Pmn2_1 (No. 31)
Symmetry-distinct sites (fractional):
Tb: 0.000 0.125 0.000 x2
Tb: 0.250 0.124 0.332 x4
Er: 0.000 0.375 0.504 x2
Er: 0.000 0.625 0.999 x2
Er: 0.246 0.626 0.336 x4
Sc: 0.000 0.874 0.499 x2

Computed properties:
- Distance to the lowest polymorph of the same formula: 0 meV/atom
- M_tot: 0.000 μB/atom
- D(E_F): 1.68 states/eV/atom



No. 4
VASP calculation (GGA-PBE) on a relaxed ZnGaPdPt crystal.

Unit cell a=6.180 b=6.180 c=6.180 alpha=90.00 beta=90.00 gamma=90.00
Space group F-43m (No. 216)
Symmetry-distinct sites (fractional):
Zn: 0.000 0.000 0.000 x4
Ga: 0.000 0.000 0.500 x4
Pd: 0.250 0.250 0.750 x4
Pt: 0.250 0.250 0.250 x4

Computed properties:
- Distance to the lowest polymorph of the same formula: 0 meV/atom
- M_tot: 0.000 μB/atom
- D(E_F): 0.70 states/eV/atom



No. 5
VASP calculation (GGA-PBE) on a relaxed Y2TmAs crystal.

Unit cell a=3.8533 b=3.8533 c=28.1013 alpha=90.00 beta=90.00 gamma=120.00
Space group R-3m (No. 166, hexagonal axes)
Symmetry-distinct sites (fractional):
Y: 0.0000 0.0000 0.2284 x6
Tm: 0.0000 0.0000 0.0000 x3
As: 0.0000 0.0000 0.5000 x3

Computed properties:
- M_tot: 0.248 μB/atom
- Calculated total energy: -73.27 eV for the cell shown
- D(E_F): 1.19 states/eV/atom



No. 6
VASP calculation (GGA-PBE) on a relaxed NaTaBiSb crystal.

Unit cell a=3.165 b=5.971 c=5.082 alpha=90.00 beta=90.00 gamma=90.00
Space group Pmm2 (No. 25)
Symmetry-distinct sites (fractional):
Na: 0.000 0.000 0.000 x1
Ta: 0.500 0.500 0.294 x1
Bi: 0.500 0.000 0.493 x1
Sb: 0.000 0.500 0.811 x1

Computed properties:
- Distance to the lowest polymorph of the same formula: 333 meV/atom
- M_tot: 0.000 μB/atom
- Formation energy (no corrections): 1.2 eV/f.u.
- D(E_F): 0.76 states/eV/atom



No. 7
VASP calculation (GGA-PBE) on a relaxed Rb2MgCu crystal.

Unit cell a=12.995 b=12.995 c=5.130 alpha=90.00 beta=90.00 gamma=90.00
Space group I-42d (No. 122)
Symmetry-distinct sites (fractional):
Rb: 0.077 0.250 0.125 x8
Mg: 0.000 0.000 0.500 x4
Cu: 0.000 0.000 0.000 x4

Computed properties:
- M_tot: 0.000 μB/atom
- Calculated total energy: -25.71 eV for the cell shown
- D(E_F): 0.78 states/eV/atom



No. 8
VASP calculation (GGA-PBE) on a relaxed PaMnCl6 crystal.

Unit cell a=6.949 b=12.146 c=6.526 alpha=90.00 beta=91.52 gamma=90.00
Space group C2/m (No. 12)
Symmetry-distinct sites (fractional):
Pa: 0.000 0.000 0.000 x2
Mn: 0.000 0.000 0.500 x2
Cl: 0.145 0.144 0.263 x8
Cl: 0.209 0.500 0.250 x4

Computed properties:
- Distance to the lowest polymorph of the same formula: 0 meV/atom
- M_tot: 0.500 μB/atom
- Formation energy (no corrections): -12.5 eV/f.u.
- D(E_F): 0.31 states/eV/atom



No. 9
VASP calculation (GGA-PBE) on a relaxed Ac3CuAu4 crystal.

Unit cell a=4.534 b=7.247 c=14.257 alpha=90.00 beta=90.00 gamma=90.00
Space group Immm (No. 71)
Symmetry-distinct sites (fractional):
Ac: 0.000 0.000 0.000 x2
Ac: 0.000 0.500 0.181 x4
Cu: 0.000 0.000 0.500 x2
Au: 0.000 0.291 0.382 x8

Computed properties:
- M_tot: 0.000 μB/atom
- Calculated total energy: -69.08 eV for the cell shown
- D(E_F): 0.68 states/eV/atom



No. 10
VASP calculation (GGA-PBE) on a relaxed Sr2AlPd crystal.

Unit cell a=8.582 b=8.582 c=6.804 alpha=90.00 beta=90.00 gamma=90.00
Space group I-42d (No. 122)
Symmetry-distinct sites (fractional):
Sr: 0.209 0.750 0.125 x8
Al: 0.000 0.000 0.500 x4
Pd: 0.000 0.000 0.000 x4

Computed properties:
- M_tot: 0.000 μB/atom
- Calculated total energy: -49.20 eV for the cell shown
- D(E_F): 1.07 states/eV/atom



No. 11
VASP calculation (GGA-PBE) on a relaxed Ac2CdSb3Pd6 crystal.

Unit cell a=4.401 b=4.401 c=16.263 alpha=90.00 beta=90.00 gamma=90.00
Space group P4/mmm (No. 123)
Symmetry-distinct sites (fractional):
Ac: 0.000 0.000 0.210 x2
Cd: 0.000 0.000 0.500 x1
Sb: 0.500 0.500 0.000 x1
Sb: 0.500 0.500 0.313 x2
Pd: 0.000 0.500 0.398 x4
Pd: 0.500 0.500 0.154 x2

Computed properties:
- M_tot: 0.000 μB/atom
- Formation energy (no corrections): -5.9 eV/f.u.
- D(E_F): 0.59 states/eV/atom



No. 12
VASP calculation (GGA-PBE) on a relaxed Mg7Sc6 crystal.

Unit cell a=5.8076 b=5.8076 c=31.5746 alpha=90.00 beta=90.00 gamma=120.00
Space group R-3m (No. 166, hexagonal axes)
Symmetry-distinct sites (fractional):
Mg: 0.0000 0.0000 0.0000 x3
Mg: 0.0043 0.5021 0.4099 x18
Sc: 0.0000 0.0000 0.1659 x6
Sc: 0.0000 0.0000 0.3482 x6
Sc: 0.0000 0.0000 0.4538 x6

Computed properties:
- M_tot: 0.004 μB/atom
- Calculated total energy: -145.70 eV for the cell shown
- D(E_F): 1.81 states/eV/atom



No. 13
VASP calculation (GGA-PBE) on a relaxed LiEr6Ni crystal.

Unit cell a=6.741 b=6.745 c=7.020 alpha=90.07 beta=118.63 gamma=119.95
Space group P-1 (No. 2)
Symmetry-distinct sites (fractional):
Li: 0.000 0.000 0.000 x1
Er: 0.180 0.460 0.255 x2
Er: 0.204 0.280 0.745 x2
Er: 0.464 0.924 0.745 x2
Ni: 0.000 0.500 0.500 x1

Computed properties:
- M_tot: 0.002 μB/atom
- Calculated total energy: -33.93 eV for the cell shown
- D(E_F): 1.76 states/eV/atom



No. 14
VASP calculation (GGA-PBE) on a relaxed AsBr2Cl crystal.

Unit cell a=5.021 b=15.095 c=3.409 alpha=90.00 beta=90.00 gamma=90.00
Space group Cmmm (No. 65)
Symmetry-distinct sites (fractional):
As: 0.000 0.000 0.000 x2
Br: 0.250 0.250 0.500 x4
Cl: 0.000 0.500 0.000 x2

Computed properties:
- Distance to the lowest polymorph of the same formula: 791 meV/atom
- M_tot: 0.227 μB/atom
- Formation energy (no corrections): 1.1 eV/f.u.
- D(E_F): 0.51 states/eV/atom



No. 15
VASP calculation (GGA-PBE) on a relaxed Si2Se crystal.

Unit cell a=4.8355 b=4.8355 c=2.5907 alpha=90.00 beta=90.00 gamma=120.00
Space group P6/mmm (No. 191)
Symmetry-distinct sites (fractional):
Si: 0.3333 0.6667 0.0000 x2
Se: 0.0000 0.0000 0.0000 x1

Computed properties:
- Distance to the lowest polymorph of the same formula: 604 meV/atom
- M_tot: 0.000 μB/atom
- Formation energy (no corrections): 1.3 eV/f.u.
- D(E_F): 0.40 states/eV/atom



No. 16
VASP calculation (GGA-PBE) on a relaxed ThMg2Pb crystal.

Unit cell a=3.546 b=3.546 c=8.674 alpha=90.00 beta=90.00 gamma=90.00
Space group P4/mmm (No. 123)
Symmetry-distinct sites (fractional):
Th: 0.000 0.000 0.000 x1
Mg: 0.500 0.500 0.269 x2
Pb: 0.000 0.000 0.500 x1

Computed properties:
- Distance to the lowest polymorph of the same formula: 144 meV/atom
- M_tot: 0.000 μB/atom
- D(E_F): 0.52 states/eV/atom



No. 17
VASP calculation (GGA-PBE) on a relaxed TbSm3Tc crystal.

Unit cell a=12.254 b=3.966 c=13.061 alpha=90.00 beta=112.31 gamma=90.00
Space group Cm (No. 8)
Symmetry-distinct sites (fractional):
Tb: 0.000 0.000 0.000 x2
Tb: 0.116 0.000 0.276 x2
Sm: 0.135 0.000 0.616 x2
Sm: 0.246 0.000 0.896 x2
Sm: 0.279 0.500 0.142 x2
Sm: 0.304 0.500 0.511 x2
Sm: 0.449 0.000 0.380 x2
Sm: 0.470 0.000 0.754 x2
Tc: 0.307 0.500 0.756 x2
Tc: 0.445 0.000 0.143 x2

Computed properties:
- Distance to the lowest polymorph of the same formula: 0 meV/atom
- M_tot: 0.000 μB/atom
- D(E_F): 0.95 states/eV/atom



No. 18
VASP calculation (GGA-PBE) on a relaxed Tb6PrNd3Ho2 crystal.

Unit cell a=6.235 b=10.792 c=11.910 alpha=90.00 beta=100.02 gamma=90.00
Space group C2/m (No. 12)
Symmetry-distinct sites (fractional):
Tb: 0.249 0.000 0.248 x4
Tb: 0.250 0.167 0.752 x8
Pr: 0.000 0.500 0.000 x2
Nd: 0.000 0.000 0.500 x2
Nd: 0.000 0.333 0.500 x4
Ho: 0.000 0.167 0.000 x4

Computed properties:
- M_tot: 0.000 μB/atom
- Calculated total energy: -111.67 eV for the cell shown
- D(E_F): 1.29 states/eV/atom



No. 19
VASP calculation (GGA-PBE) on a relaxed Mo2IrRh crystal.

Unit cell a=2.767 b=2.767 c=7.926 alpha=90.00 beta=90.00 gamma=90.00
Space group P4mm (No. 99)
Symmetry-distinct sites (fractional):
Mo: 0.000 0.000 0.000 x1
Mo: 0.500 0.500 0.273 x1
Ir: 0.500 0.500 0.767 x1
Rh: 0.000 0.000 0.509 x1

Computed properties:
- Distance to the lowest polymorph of the same formula: 165 meV/atom
- M_tot: 0.000 μB/atom
- D(E_F): 0.88 states/eV/atom



No. 20
VASP calculation (GGA-PBE) on a relaxed Pr3Cd2Hg6 crystal.

Unit cell a=4.312 b=4.312 c=33.349 alpha=90.00 beta=90.00 gamma=90.00
Space group I4/mmm (No. 139)
Symmetry-distinct sites (fractional):
Pr: 0.000 0.000 0.000 x2
Pr: 0.000 0.000 0.178 x4
Cd: 0.000 0.000 0.363 x4
Hg: 0.000 0.000 0.274 x4
Hg: 0.000 0.500 0.073 x8

Computed properties:
- M_tot: 0.000 μB/atom
- Calculated total energy: -40.68 eV for the cell shown
- D(E_F): 0.92 states/eV/atom



No. 21
VASP calculation (GGA-PBE) on a relaxed UMnSn crystal.

Unit cell a=6.071 b=5.991 c=8.668 alpha=90.00 beta=129.67 gamma=90.00
Space group P2_1/c (No. 14)
Symmetry-distinct sites (fractional):
U: 0.078 0.115 0.393 x4
Mn: 0.121 0.126 0.170 x4
Sn: 0.430 0.628 0.616 x4

Computed properties:
- M_tot: 0.000 μB/atom
- Calculated total energy: -99.53 eV for the cell shown
- D(E_F): 0.95 states/eV/atom



No. 22
VASP calculation (GGA-PBE) on a relaxed Sm3Al3Ir2 crystal.

Unit cell a=7.904 b=15.228 c=5.853 alpha=90.00 beta=90.00 gamma=90.00
Space group Pnma (No. 62)
Symmetry-distinct sites (fractional):
Sm: 0.029 0.109 0.104 x8
Sm: 0.163 0.250 0.621 x4
Al: 0.158 0.036 0.597 x8
Al: 0.180 0.750 0.606 x4
Ir: 0.136 0.605 0.371 x8

Computed properties:
- M_tot: 0.000 μB/atom
- Calculated total energy: -195.73 eV for the cell shown
- D(E_F): 0.70 states/eV/atom



No. 23
VASP calculation (GGA-PBE) on a relaxed In2AgPb2 crystal.

Unit cell a=3.496 b=3.496 c=21.780 alpha=90.00 beta=90.00 gamma=90.00
Space group I4/mmm (No. 139)
Symmetry-distinct sites (fractional):
In: 0.000 0.000 0.082 x4
Ag: 0.000 0.000 0.500 x2
Pb: 0.000 0.000 0.308 x4

Computed properties:
- Distance to the lowest polymorph of the same formula: 0 meV/atom
- M_tot: 0.000 μB/atom
- D(E_F): 0.45 states/eV/atom



No. 24
VASP calculation (GGA-PBE) on a relaxed LiTcAg2 crystal.

Unit cell a=2.685 b=2.685 c=8.805 alpha=90.00 beta=90.00 gamma=90.00
Space group P4mm (No. 99)
Symmetry-distinct sites (fractional):
Li: 0.000 0.000 0.000 x1
Tc: 0.500 0.500 0.238 x1
Ag: 0.000 0.000 0.494 x1
Ag: 0.500 0.500 0.759 x1

Computed properties:
- Distance to the lowest polymorph of the same formula: 17 meV/atom
- M_tot: 0.000 μB/atom
- D(E_F): 0.63 states/eV/atom